# KInIrCl | Alexandria via LeMat-Bulk | PBE | optimized geometry
data_KInIrCl
_space_group_name_H-M_alt 'C 1 m 1'
_space_group_IT_number 8
_space_group_name_Hall 'C -2y'
_cell_length_a 13.610
_cell_length_b 4.140
_cell_length_c 4.563
_cell_angle_alpha 90.00
_cell_angle_beta 101.47
_cell_angle_gamma 90.00
loop_
_atom_site_label
_atom_site_type_symbol
_atom_site_fract_x
_atom_site_fract_y
_atom_site_fract_z
K1 K 0.000 0.000 0.000
In1 In 0.237 0.000 0.616
Ir1 Ir 0.125 0.500 0.576
Cl1 Cl 0.447 0.000 0.466
# crystal system	monoclinic
# offset from the most stable computed form	31.6	kJ per mole of atoms
# magnetic moment	0.47	μB per cell
# formation energy without anion corrections	-88	meV/atom

***

# CaTa2BeN4 | Alexandria via LeMat-Bulk | PBE | optimized geometry
data_CaTa2BeN4
_space_group_name_H-M_alt 'C m c m'
_space_group_IT_number 63
_space_group_name_Hall '-C 2c 2'
_cell_length_a 3.138
_cell_length_b 10.510
_cell_length_c 10.514
_cell_angle_alpha 90.00
_cell_angle_beta 90.00
_cell_angle_gamma 90.00
loop_
_atom_site_label
_atom_site_type_symbol
_atom_site_fract_x
_atom_site_fract_y
_atom_site_fract_z
Ca1 Ca 0.000 0.097 0.250
Ta1 Ta 0.000 0.372 0.050
Be1 Be 0.000 0.177 0.750
N1 N 0.000 0.000 0.000
N2 N 0.000 0.266 0.616
N3 N 0.000 0.415 0.250
# crystal system	orthorhombic
# magnetic moment	0.00	μB per cell
# formation energy without anion corrections	-1192	meV/atom